Compound: LiDy2Zn3
Source: Alexandria
Functional: GGA-PBE
Structure: relaxed

Computed properties:
The calculation puts the relative energy among the computed polymorphs at 0 kJ/mol of formula units. Its space group is P-3m1, No. 164. Its spin magnetization is 0.000 μB/atom.

a b c (Å): 4.8890 4.8890 11.9659
angles (deg): 90.00 90.00 120.00
Fractional positions:
Zn (0.3333, 0.6667, 0.4279)
Li (0.6667, 0.3333, 0.3361)
Zn (0.6667, 0.3333, 0.0929)
Dy (0.3333, 0.6667, 0.1815)
Li (0.3333, 0.6667, 0.6639)
Dy (0.0000, 0.0000, 0.0000)
Zn (0.0000, 0.0000, 0.7444)
Zn (0.6667, 0.3333, 0.5721)
Dy (0.6667, 0.3333, 0.8185)
Zn (0.3333, 0.6667, 0.9071)
Zn (0.0000, 0.0000, 0.2556)
Dy (0.0000, 0.0000, 0.5000)

Compound: LiDy4Zn3
Source: Alexandria
Functional: GGA-PBE
Structure: relaxed

Computed properties:
Its space group is I4/mmm, No. 139. Its spin magnetization is 0.000 μB/atom.

a b c (Å): 5.0725 5.0725 8.0046
angles (deg): 108.47 108.47 90.00
Fractional positions:
Zn (0.2520, 0.7520, 0.5040)
Dy (0.1278, 0.1278, 0.2555)
Dy (0.8722, 0.8722, 0.7445)
Dy (0.6278, 0.6279, 0.2555)
Zn (0.7480, 0.2480, 0.4960)
Zn (0.0000, 0.5000, 0.0000)
Dy (0.3722, 0.3721, 0.7445)
Li (0.5000, 0.0000, 0.0000)

Compound: LiDyZn17
Source: Alexandria
Functional: GGA-PBE
Structure: relaxed

Computed properties:
Its space group is R3m, No. 160. Its spin magnetization is 0.000 μB/atom.

a b c (Å): 6.7775 6.7775 6.7775
angles (deg): 82.62 82.62 82.62
Fractional positions:
Zn (0.6932, 0.0036, 0.2988)
Zn (0.0036, 0.6932, 0.2988)
Zn (0.1061, 0.1061, 0.1061)
Zn (0.6932, 0.2988, 0.0036)
Zn (0.9916, 0.9916, 0.5039)
Zn (0.9916, 0.5039, 0.9916)
Zn (0.2988, 0.0036, 0.6932)
Zn (0.3501, 0.8397, 0.3501)
Zn (0.0036, 0.2988, 0.6932)
Zn (0.9012, 0.9012, 0.9012)
Zn (0.5039, 0.9916, 0.9916)
Zn (0.2988, 0.6932, 0.0036)
Zn (0.3501, 0.3501, 0.8397)
Zn (0.6460, 0.1645, 0.6460)
Dy (0.6624, 0.6624, 0.6624)
Zn (0.1645, 0.6460, 0.6460)
Li (0.3557, 0.3557, 0.3557)
Zn (0.8397, 0.3501, 0.3501)
Zn (0.6460, 0.6460, 0.1645)

ΔE_f for the records above, in order: -1.6; -1.9; -2.6 eV/f.u.
VASP energy for the records above, in order: -2.76; -3.26; -1.62 eV/atom
Density of states at the Fermi level for the records above, in order: 3.365; 9.177; 5.353 states/eV/f.u.